VASP calculation (PBE with a Hubbard U) on Sc2FeSeF after structural relaxation.

a b c (Å): 5.126 4.515 5.126
angles (deg): 90.00 90.00 90.00
Each line ends with the local moment (μB).
Atoms (fractional coordinates):
Fe 0.000 0.500 0.000  -2.92
Sc 0.000 0.000 0.500  0.87
Sc 0.500 0.000 0.000  0.50
F 0.500 0.500 0.500  0.04
Se 0.000 0.000 0.000  0.01

Output
Its symmetry is No. 123. The value obtained for the total energy is -24.67 eV/cell. As for the total magnetization: 0.59 μB/f.u.